Material: LaAs2RuSe
Method: DFT, GGA-PBE
State: relaxed

Summary:
Energy relative to the elements, uncorrected = -0.460 eV per atom
Magnetic moment = 0.00 μB/f.u.
Volume = 23.706 A^3/atom

a = 4.6874 Å, b = 4.6874 Å, c = 5.3946 Å
α = 90.00°, β = 90.00°, γ = 90.00°
Element x y z (fractional)
La 0.0000 0.0000 0.0000
As 0.0000 0.5000 0.5000
As 0.5000 0.0000 0.5000
Ru 0.5000 0.5000 0.5000
Se 0.5000 0.5000 0.0000